(1)
Rb2TaZnO4, optimized geometry, DFT PBE; volume = 164.67 Å³/cell; E_tot = -6.242 eV/atom; SG = I-4 (82); ΔE_f (raw) = -181.37 kJ per mole of atoms
1.0
6.158 -0.297 -0.456
-2.893 5.445 0.456
-2.893 -1.774 5.168
Rb Ta Zn O
2 1 1 4
direct
0.500 0.750 0.250
0.000 0.000 0.000
0.000 0.500 0.500
0.500 0.250 0.750
0.656 0.396 0.502
0.106 0.260 0.604
0.894 0.498 0.154
0.344 0.846 0.740



(2)
Rb2ZrTa3O12, optimized geometry, DFT PBE; volume = 308.36 Å³/cell; E_tot = -8.281 eV/atom; SG = R-3m (166); ΔE_f (raw) = -233.26 kJ per mole of atoms
1.0
-5.949 1.638 -4.439
-4.862 -5.464 -2.068
-7.052 -0.133 2.834
Rb Zr Ta O
2 1 3 12
direct
0.624 0.624 0.624
0.376 0.376 0.376
0.000 0.000 0.000
0.500 0.000 0.000
0.000 0.500 0.000
0.000 0.000 0.500
0.308 0.308 0.934
0.930 0.930 0.330
0.330 0.930 0.930
0.934 0.308 0.308
0.930 0.330 0.930
0.308 0.934 0.308
0.692 0.692 0.066
0.070 0.070 0.670
0.670 0.070 0.070
0.066 0.692 0.692
0.070 0.670 0.070
0.692 0.066 0.692